No. 1
DFT (PBE) results for ScP2O2 after structural relaxation.

As for the density of states at the Fermi level: 0.50 states/eV per atom. For the energy relative to the lowest polymorph listed for this composition, the calculation gives 0.000 eV/atom. The value obtained for the formation energy without anion corrections is -1262 meV/atom.

It has space group I4_1/amd (No. 141, origin choice 2), with a = 8.759 Å, b = 8.759 Å, c = 15.086 Å, α = 90.00°, β = 90.00° and γ = 90.00°. The inequivalent atoms are Sc at (0.000, 0.000, 0.000), P at (0.000, 0.093, 0.824) and O at (0.000, 0.070, 0.130).



No. 2
DFT (PBE) results for Sc3TlN after structural relaxation.

As for the density of states at the Fermi level: 0.49 states/eV per atom. The value obtained for the formation energy without anion corrections is -948 meV/atom.

It has space group Pmmm (No. 47), with a = 3.331 Å, b = 4.420 Å, c = 6.340 Å, α = 90.00°, β = 90.00° and γ = 90.00°. The inequivalent atoms are Sc at (0.000, 0.000, 0.000), Sc at (0.500, 0.500, 0.236), Tl at (0.000, 0.000, 0.500) and N at (0.000, 0.500, 0.000).